# KAlCr

A relaxed KAlCr crystal (PBE, Alexandria via LeMat-Bulk).

## Properties
formation enthalpy at 0 K: 946 meV per atom
mass density: 3.447 g/cm³
total DFT energy (no corrections): -0.2848 Ry/atom
symmetry: P3m1 (156)
E above lowest polymorph: 40.5 kJ per mole of atoms

Cell lengths 2.844, 2.844, 8.121 Å; angles 90.00, 90.00, 120.00 degrees
Fractional positions:
K  0.000  0.000  0.000
Al  0.333  0.667  0.383
Cr  0.667  0.333  0.636